# 1
Below is crystalline Tl2GaHgTe4 at its relaxed geometry, with properties calculated at the PBE level.

Energy relative to the elements, uncorrected   -0.21 eV/atom
Fermi-level density of states   0.850 states/eV/atom
Crystal system   tetragonal

Structure (CIF):
```
data_Tl2GaHgTe4
_symmetry_space_group_name_H-M 'I -4 2 m'
_symmetry_Int_Tables_number 121
_symmetry_space_group_name_Hall 'I -4 2'
_cell_length_a 8.355
_cell_length_b 8.355
_cell_length_c 7.322
_cell_angle_alpha 90.00
_cell_angle_beta 90.00
_cell_angle_gamma 90.00
loop_
_atom_site_label
_atom_site_fract_x
_atom_site_fract_y
_atom_site_fract_z
Tl1 0.000 0.500 0.000
Ga1 0.000 0.000 0.000
Hg1 0.000 0.000 0.500
Te1 0.178 0.178 0.227
```

---

# 2
Below is crystalline KRuS at its relaxed geometry, with properties calculated at the PBE level.

Energy relative to the elements, uncorrected   -0.48 eV/atom
Fermi-level density of states   0.487 states/eV/atom
Crystal system   tetragonal

Structure (CIF):
```
data_KRuS
_symmetry_space_group_name_H-M 'P 4/n m m'
_symmetry_Int_Tables_number 129
_cell_length_a 3.975
_cell_length_b 3.975
_cell_length_c 10.119
_cell_angle_alpha 90.00
_cell_angle_beta 90.00
_cell_angle_gamma 90.00
loop_
_symmetry_equiv_pos_as_xyz
'x,y,z'
'-x,-y,-z'
'-y+1/2,x,z'
'y+1/2,-x,-z'
'-x+1/2,-y+1/2,z'
'x+1/2,y+1/2,-z'
'y,-x+1/2,z'
'-y,x+1/2,-z'
'x+1/2,-y,-z'
'-x+1/2,y,z'
'-y,-x,-z'
'y,x,z'
'-x,y+1/2,-z'
'x,-y+1/2,z'
'y+1/2,x+1/2,-z'
'-y+1/2,-x+1/2,z'
loop_
_atom_site_label
_atom_site_fract_x
_atom_site_fract_y
_atom_site_fract_z
K1 0.250 0.250 0.201
Ru1 0.250 0.750 0.500
S1 0.250 0.250 0.622
```

---

# 3
Below is crystalline CeThPb at its relaxed geometry, with properties calculated at the PBE level.

Fermi-level density of states   2.100 states/eV/atom
Crystal system   hexagonal
Formation enthalpy at 0 K   0.0200 eV per atom
Relative energy among the computed polymorphs   0.290 eV per atom

Structure (CIF):
```
data_CeThPb
_symmetry_space_group_name_H-M 'P -6 m 2'
_symmetry_Int_Tables_number 187
_symmetry_space_group_name_Hall 'P -6 2'
_cell_length_a 5.4419
_cell_length_b 5.4419
_cell_length_c 3.3496
_cell_angle_alpha 90.00
_cell_angle_beta 90.00
_cell_angle_gamma 120.00
loop_
_atom_site_label
_atom_site_fract_x
_atom_site_fract_y
_atom_site_fract_z
Ce1 0.0000 0.0000 0.0000
Th1 0.6667 0.3333 0.0000
Pb1 0.3333 0.6667 0.5000
```

---

# 4
Below is crystalline BaSrP4 at its relaxed geometry, with properties calculated at the PBE level.

Fermi-level density of states   0.665 states/eV/atom
Crystal system   cubic
Formation enthalpy at 0 K   -0.2861 eV per atom

Structure (CIF):
```
data_BaSrP4
_symmetry_space_group_name_H-M 'F -4 3 m'
_symmetry_Int_Tables_number 216
_symmetry_space_group_name_Hall 'F -4 2 3'
_cell_length_a 8.091
_cell_length_b 8.091
_cell_length_c 8.091
_cell_angle_alpha 90.00
_cell_angle_beta 90.00
_cell_angle_gamma 90.00
loop_
_atom_site_label
_atom_site_fract_x
_atom_site_fract_y
_atom_site_fract_z
Ba1 0.000 0.000 0.000
Sr1 0.250 0.250 0.250
P1 0.112 0.112 0.612
```

---

# 5
Below is crystalline AcNdYCd at its relaxed geometry, with properties calculated at the PBE level.

Fermi-level density of states   1.712 states/eV/atom
Crystal system   cubic
Formation enthalpy at 0 K   0.0492 eV per atom
Relative energy among the computed polymorphs   0.189 eV per atom

Structure (CIF):
```
data_AcNdYCd
_symmetry_space_group_name_H-M 'F -4 3 m'
_symmetry_Int_Tables_number 216
_symmetry_space_group_name_Hall 'F -4 2 3'
_cell_length_a 8.046
_cell_length_b 8.046
_cell_length_c 8.046
_cell_angle_alpha 90.00
_cell_angle_beta 90.00
_cell_angle_gamma 90.00
loop_
_atom_site_label
_atom_site_fract_x
_atom_site_fract_y
_atom_site_fract_z
Ac1 0.000 0.000 0.000
Nd1 0.250 0.250 0.750
Y1 0.250 0.250 0.250
Cd1 0.000 0.000 0.500
```

---

# 6
Below is crystalline Ho2SnSe4 at its relaxed geometry, with properties calculated at the PBE level.

Energy relative to the elements, uncorrected   -1.43 eV/atom
Crystal system   orthorhombic
Relative energy among the computed polymorphs   0.000 eV per atom

Structure (CIF):
```
data_Ho2SnSe4
_symmetry_space_group_name_H-M 'C m c m'
_symmetry_Int_Tables_number 63
_symmetry_space_group_name_Hall '-C 2c 2'
_cell_length_a 4.084
_cell_length_b 13.502
_cell_length_c 14.078
_cell_angle_alpha 90.00
_cell_angle_beta 90.00
_cell_angle_gamma 90.00
loop_
_atom_site_label
_atom_site_fract_x
_atom_site_fract_y
_atom_site_fract_z
Ho1 0.000 0.137 0.065
Sn1 0.000 0.400 0.250
Se1 0.000 0.048 0.250
Se2 0.000 0.230 0.617
Se3 0.000 0.500 0.000
```

---

# 7
Below is crystalline Hf2TlCdIr at its relaxed geometry, with properties calculated at the PBE level.

Fermi-level density of states   0.798 states/eV/atom
Crystal system   tetragonal
Formation enthalpy at 0 K   1.6257 eV per atom

Structure (CIF):
```
data_Hf2TlCdIr
_symmetry_space_group_name_H-M 'P 4/m m m'
_symmetry_Int_Tables_number 123
_symmetry_space_group_name_Hall '-P 4 2'
_cell_length_a 5.240
_cell_length_b 5.240
_cell_length_c 4.960
_cell_angle_alpha 90.00
_cell_angle_beta 90.00
_cell_angle_gamma 90.00
loop_
_atom_site_label
_atom_site_fract_x
_atom_site_fract_y
_atom_site_fract_z
Hf1 0.000 0.500 0.000
Tl1 0.000 0.000 0.000
Cd1 0.000 0.000 0.500
Ir1 0.500 0.500 0.500
```

---

# 8
Below is crystalline LiTa2Si at its relaxed geometry, with properties calculated at the PBE level.

Energy relative to the elements, uncorrected   -0.11 eV/atom
Fermi-level density of states   0.395 states/eV/atom
Crystal system   orthorhombic

Structure (CIF):
```
data_LiTa2Si
_symmetry_space_group_name_H-M 'A m m 2'
_symmetry_Int_Tables_number 38
_cell_length_a 3.791
_cell_length_b 3.206
_cell_length_c 9.912
_cell_angle_alpha 90.00
_cell_angle_beta 90.00
_cell_angle_gamma 90.00
loop_
_symmetry_equiv_pos_as_xyz
'x,y,z'
'-x,-y,z'
'-x,y,z'
'x,-y,z'
'x,y+1/2,z+1/2'
'-x,-y+1/2,z+1/2'
'-x,y+1/2,z+1/2'
'x,-y+1/2,z+1/2'
loop_
_atom_site_label
_atom_site_fract_x
_atom_site_fract_y
_atom_site_fract_z
Li1 0.000 0.000 0.000
Ta1 0.000 0.000 0.730
Ta2 0.500 0.000 0.405
Si1 0.500 0.000 0.132
```

---

# 9
Below is crystalline BAsI2Br at its relaxed geometry, with properties calculated at the PBE level.

Energy relative to the elements, uncorrected   0.87 eV/atom
Fermi-level density of states   1.049 states/eV/atom
Crystal system   tetragonal

Structure (CIF):
```
data_BAsI2Br
_symmetry_space_group_name_H-M 'P 4/m m m'
_symmetry_Int_Tables_number 123
_symmetry_space_group_name_Hall '-P 4 2'
_cell_length_a 5.848
_cell_length_b 5.848
_cell_length_c 4.282
_cell_angle_alpha 90.00
_cell_angle_beta 90.00
_cell_angle_gamma 90.00
loop_
_atom_site_label
_atom_site_fract_x
_atom_site_fract_y
_atom_site_fract_z
B1 0.000 0.000 0.000
As1 0.000 0.000 0.500
I1 0.000 0.500 0.500
Br1 0.500 0.500 0.000
```

---

# 10
Below is crystalline TaN at its relaxed geometry, with properties calculated at the PBE level.

Energy relative to the elements, uncorrected   -1.12 eV/atom
Crystal system   tetragonal

Structure (CIF):
```
data_TaN
_symmetry_space_group_name_H-M 'I 41 m d'
_symmetry_Int_Tables_number 109
_symmetry_space_group_name_Hall 'I 4bw -2'
_cell_length_a 2.919
_cell_length_b 2.919
_cell_length_c 10.301
_cell_angle_alpha 90.00
_cell_angle_beta 90.00
_cell_angle_gamma 90.00
loop_
_atom_site_label
_atom_site_fract_x
_atom_site_fract_y
_atom_site_fract_z
Ta1 0.000 0.000 0.000
N1 0.000 0.000 0.582
```

---

# 11
Below is crystalline Rb2BaTl2 at its relaxed geometry, with properties calculated at the PBE level.

Fermi-level density of states   1.600 states/eV/atom
Crystal system   tetragonal
Formation enthalpy at 0 K   0.0313 eV per atom
Relative energy among the computed polymorphs   0.070 eV per atom

Structure (CIF):
```
data_Rb2BaTl2
_symmetry_space_group_name_H-M 'P 4/m b m'
_symmetry_Int_Tables_number 127
_symmetry_space_group_name_Hall '-P 4 2ab'
_cell_length_a 10.446
_cell_length_b 10.446
_cell_length_c 4.198
_cell_angle_alpha 90.00
_cell_angle_beta 90.00
_cell_angle_gamma 90.00
loop_
_atom_site_label
_atom_site_fract_x
_atom_site_fract_y
_atom_site_fract_z
Rb1 0.123 0.377 0.000
Ba1 0.000 0.000 0.000
Tl1 0.181 0.681 0.500
```

---

# 12
Below is crystalline Np3ScN4 at its relaxed geometry, with properties calculated at the PBE level.

Energy relative to the elements, uncorrected   -1.28 eV/atom
Fermi-level density of states   1.606 states/eV/atom
Crystal system   monoclinic

Structure (CIF):
```
data_Np3ScN4
_symmetry_space_group_name_H-M 'P 1 2/c 1'
_symmetry_Int_Tables_number 13
_cell_length_a 5.894
_cell_length_b 6.778
_cell_length_c 5.842
_cell_angle_alpha 90.00
_cell_angle_beta 109.65
_cell_angle_gamma 90.00
loop_
_symmetry_equiv_pos_as_xyz
'x,y,z'
'-x,-y,-z'
'-x,y,-z+1/2'
'x,-y,z+1/2'
loop_
_atom_site_label
_atom_site_fract_x
_atom_site_fract_y
_atom_site_fract_z
Np1 0.000 0.122 0.250
Np2 0.000 0.373 0.750
Np3 0.500 0.373 0.250
Sc1 0.500 0.121 0.750
N1 0.259 0.366 0.506
N2 0.260 0.120 0.002
```

---

# 13
Below is crystalline Y2BiSb at its relaxed geometry, with properties calculated at the PBE level.

Energy relative to the elements, uncorrected   -0.71 eV/atom
Fermi-level density of states   1.061 states/eV/atom
Crystal system   cubic
Relative energy among the computed polymorphs   0.317 eV per atom

Structure (CIF):
```
data_Y2BiSb
_symmetry_space_group_name_H-M 'F m -3 m'
_symmetry_Int_Tables_number 225
_symmetry_space_group_name_Hall '-F 4 2 3'
_cell_length_a 7.703
_cell_length_b 7.703
_cell_length_c 7.703
_cell_angle_alpha 90.00
_cell_angle_beta 90.00
_cell_angle_gamma 90.00
loop_
_atom_site_label
_atom_site_fract_x
_atom_site_fract_y
_atom_site_fract_z
Y1 0.250 0.250 0.250
Bi1 0.000 0.000 0.000
Sb1 0.000 0.000 0.500
```

---

no.,size of the total moment (μB/cell)
1,0.00
2,0.00
3,0.87
4,0.00
5,0.01
6,0.00
7,0.00
8,0.00
9,0.00
10,0.00
11,0.00
12,18.73
13,0.00